Entry 1:
The following is a GGA-PBE calculation of RbRuSN2 after structural relaxation, from Alexandria via LeMat-Bulk.

Unit cell a=4.381 b=4.381 c=6.252 alpha=90.00 beta=90.00 gamma=90.00
Each line ends with the local moment (μB).
Positions (direct):
S1 0.000 0.000 0.500  0.30
Ru1 0.500 0.500 0.500  3.02
N1 0.500 0.000 0.000  1.12
Rb1 0.000 0.000 0.000  0.09
N2 0.000 0.500 0.000  1.12

Summary:
Raw formation energy   3.0723 eV per atom
Relative energy among the computed polymorphs   2.400 eV per atom

Entry 2:
The following is a GGA-PBE calculation of B4C after structural relaxation, from Alexandria via LeMat-Bulk.

Unit cell a=2.847 b=3.273 c=4.131 alpha=86.54 beta=74.56 gamma=82.94
Positions (direct):
B1 0.986 0.802 0.251
B2 0.008 0.291 0.099
B3 0.348 0.553 0.784
B4 0.573 0.039 0.962
C1 0.859 0.735 0.650

Summary:
Relative energy among the computed polymorphs   0.539 eV per atom

Entry 3:
The following is a GGA-PBE calculation of LaVAs after structural relaxation, from Alexandria via LeMat-Bulk.

Unit cell a=3.850 b=3.850 c=9.612 alpha=90.00 beta=90.00 gamma=90.00
Positions (direct):
V1 0.500 0.500 0.500
V2 0.000 0.000 0.500
As1 0.500 0.000 0.673
La1 0.000 0.500 0.810
La2 0.500 0.000 0.190
As2 0.000 0.500 0.327

Entry 4:
The following is a GGA-PBE calculation of Rb4Pr3UTe8 after structural relaxation, from Alexandria via LeMat-Bulk.

Unit cell a=9.312 b=10.123 c=9.312 alpha=117.39 beta=120.00 gamma=90.00
Each line ends with the local moment (μB).
Positions (direct):
Te1 0.260 0.295 0.027  -0.02
Te2 0.264 0.293 0.528  0.00
Te3 0.740 0.705 0.973  -0.02
Te4 0.736 0.707 0.472  0.00
Te5 0.768 0.295 0.027  -0.02
Te6 0.232 0.705 0.464  -0.02
Pr1 0.500 0.500 0.000  0.04
U1 0.000 0.500 0.000  2.73
Rb1 0.500 0.000 0.500  0.00
Rb2 0.000 0.000 0.500  0.00
Pr2 0.500 0.500 0.500  0.04
Rb3 0.500 0.000 0.000  0.00
Pr3 0.000 0.500 0.500  0.04
Te7 0.232 0.705 0.973  -0.02
Rb4 0.000 0.000 0.000  0.00
Te8 0.768 0.295 0.536  -0.02

Summary:
Raw formation energy   -1.2593 eV per atom

Entry 5:
The following is a GGA-PBE calculation of PClF after structural relaxation, from Alexandria via LeMat-Bulk.

Unit cell a=3.056 b=4.888 c=5.761 alpha=108.36 beta=105.05 gamma=90.82
Positions (direct):
Cl1 0.046 0.225 0.866
P1 0.238 0.411 0.250
F1 0.259 0.753 0.277

Summary:
Raw formation energy   -1.0892 eV per atom
Relative energy among the computed polymorphs   0.163 eV per atom

Entry 6:
The following is a GGA-PBE calculation of RbTaMo3 after structural relaxation, from Alexandria via LeMat-Bulk.

Unit cell a=4.629 b=4.629 c=4.629 alpha=90.00 beta=90.00 gamma=90.00
Positions (direct):
Ta1 0.500 0.500 0.500
Mo1 0.000 0.500 0.000
Mo2 0.500 0.000 0.000
Mo3 0.000 0.000 0.500
Rb1 0.000 0.000 0.000

Summary:
Relative energy among the computed polymorphs   1.152 eV per atom

Entry 7:
The following is a GGA-PBE calculation of ZnTc2Os after structural relaxation, from Alexandria via LeMat-Bulk.

Unit cell a=4.776 b=4.776 c=2.755 alpha=90.00 beta=90.00 gamma=113.57
Positions (direct):
Tc1 0.500 0.500 0.000
Os1 0.000 0.500 0.500
Zn1 0.500 0.000 0.500
Tc2 0.000 0.000 0.000

Entry 8:
The following is a GGA-PBE calculation of FeSiAg2Pt after structural relaxation, from Alexandria via LeMat-Bulk.

Unit cell a=4.696 b=4.506 c=4.696 alpha=90.00 beta=90.00 gamma=90.00
Each line ends with the local moment (μB).
Positions (direct):
Fe1 0.500 0.500 0.500  3.25
Ag1 0.500 0.000 0.000  0.00
Ag2 0.000 0.000 0.500  0.00
Si1 0.000 0.000 0.000  0.04
Pt1 0.000 0.500 0.000  0.04

Summary:
Raw formation energy   0.6726 eV per atom

Entry 9:
The following is a GGA-PBE calculation of BaAlCd2 after structural relaxation, from Alexandria via LeMat-Bulk.

Unit cell a=6.783 b=6.783 c=6.783 alpha=41.28 beta=41.28 gamma=41.28
Positions (direct):
Al1 0.549 0.549 0.549
Cd1 0.963 0.963 0.963
Ba1 0.755 0.755 0.755
Cd2 0.233 0.233 0.233

Entry 10:
The following is a GGA-PBE calculation of B2P2S after structural relaxation, from Alexandria via LeMat-Bulk.

Unit cell a=2.749 b=8.478 c=5.749 alpha=90.00 beta=90.00 gamma=90.00
Positions (direct):
P1 0.500 0.352 0.573
P2 0.500 0.148 0.073
B1 0.500 0.850 0.412
S1 0.000 0.500 0.038
B2 0.500 0.650 0.912
B3 0.500 0.350 0.912
P3 0.500 0.648 0.573
S2 0.000 0.000 0.538
P4 0.500 0.852 0.073
B4 0.500 0.150 0.412

Summary:
Raw formation energy   0.2729 eV per atom
Relative energy among the computed polymorphs   0.425 eV per atom

Entry 11:
The following is a GGA-PBE calculation of TbH2Br after structural relaxation, from Alexandria via LeMat-Bulk.

Unit cell a=10.811 b=10.811 c=10.811 alpha=20.12 beta=20.12 gamma=20.12
Positions (direct):
H1 0.456 0.456 0.456
Tb1 0.884 0.884 0.884
Br1 0.721 0.721 0.721
H2 0.814 0.814 0.814
Tb2 0.116 0.116 0.116
Br2 0.279 0.279 0.279
H3 0.544 0.544 0.544
H4 0.186 0.186 0.186

Entry 12:
The following is a GGA-PBE calculation of Nd12Sm3Hg after structural relaxation, from Alexandria via LeMat-Bulk.

Unit cell a=5.106 b=5.106 c=20.733 alpha=90.00 beta=90.00 gamma=90.00
Positions (direct):
Hg1 0.000 0.000 0.000
Nd1 0.500 0.000 0.120
Sm1 0.000 0.000 0.500
Nd2 0.500 0.500 0.756
Sm2 0.000 0.000 0.247
Nd3 0.000 0.500 0.120
Nd4 0.500 0.000 0.627
Nd5 0.500 0.000 0.880
Nd6 0.500 0.500 0.000
Sm3 0.000 0.000 0.753
Nd7 0.500 0.500 0.500
Nd8 0.000 0.500 0.880
Nd9 0.500 0.000 0.373
Nd10 0.500 0.500 0.244
Nd11 0.000 0.500 0.373
Nd12 0.000 0.500 0.627

Number 1: density of states at the Fermi level 6.00 states/eV per cell, DFT total energy -15.7 eV/cell, density 3.4 g cm⁻³. Number 2: density of states at the Fermi level 0.85 states/eV per cell, DFT total energy -33.7 eV/cell, density 2.5 g cm⁻³. Number 3: density of states at the Fermi level 4.67 states/eV per cell, DFT total energy -42.0 eV/cell, density 6.2 g cm⁻³. Number 4: density of states at the Fermi level 11.23 states/eV per cell, DFT total energy -74.8 eV/cell, density 5.2 g cm⁻³. Number 5: density of states at the Fermi level 0.77 states/eV per cell, DFT total energy -12.4 eV/cell, density 1.8 g cm⁻³. Number 6: density of states at the Fermi level 6.80 states/eV per cell, DFT total energy -29.4 eV/cell, density 9.3 g cm⁻³. Number 7: density of states at the Fermi level 4.19 states/eV per cell, DFT total energy -32.3 eV/cell, density 13.0 g cm⁻³. Number 8: density of states at the Fermi level 8.75 states/eV per cell, DFT total energy -22.3 eV/cell, density 8.3 g cm⁻³. Number 9: density of states at the Fermi level 4.00 states/eV per cell, DFT total energy -8.1 eV/cell, density 5.3 g cm⁻³. Number 10: density of states at the Fermi level 1.63 states/eV per cell, DFT total energy -53.9 eV/cell, density 2.9 g cm⁻³. Number 11: density of states at the Fermi level 0.00 states/eV per cell, DFT total energy -34.7 eV/cell, density 6.1 g cm⁻³. Number 12: density of states at the Fermi level 22.96 states/eV per cell, DFT total energy -72.0 eV/cell, density 7.3 g cm⁻³.